# 1
DFT (PBEsol) results for a relaxed NiPdSeBr2 crystal.

Cell: 4.7558 4.7558 4.6237 Å, 90.00 90.00 90.00°
Positions (direct):
Ni 0.0000 0.0000 0.0000
Pd 0.5000 0.5000 0.5000
Se 0.0000 0.0000 0.5000
Br 0.0000 0.5000 0.0000
Br 0.5000 0.0000 0.0000

Values from the calculation:
* formation energy (no corrections): 0.43 eV per atom
* E: -17.5 eV/f.u.
* size of the total moment: 0.00 μB per formula unit
* density of states at the Fermi level: 8.2 states/eV/f.u.
* V: 105 Å³/cell
* crystal system: tetragonal

---

# 2
DFT (PBEsol) results for a relaxed NiPtBr crystal.

Cell: 3.2344 3.2344 5.3294 Å, 90.00 90.00 120.00°
Positions (direct):
Ni 0.0000 0.0000 0.0000
Pt 0.6667 0.3333 0.7012
Br 0.3333 0.6667 0.2860

Values from the calculation:
* formation energy (no corrections): 0.33 eV per atom
* E: -14.0 eV/f.u.
* size of the total moment: 0.00 μB per formula unit
* density of states at the Fermi level: 3.1 states/eV/f.u.
* V: 48 Å³/cell
* crystal system: trigonal

---

> Which of these has the lowest V?

NiPtBr

---

> Look up the density of states at the Fermi level of the second one.

3.1 states/eV/f.u.